1.
NiHgPd: relaxed, GGA-PBE.

Computed properties:
VASP energy   -3.480 eV/atom

a b c (Å): 4.2309 4.2309 4.2309
angles (deg): 60.00 60.00 60.00
Element x y z (fractional)
Hg (0.2500, 0.2500, 0.2500)
Ni (0.0000, 0.0000, 0.0000)
Pd (0.7500, 0.7500, 0.7500)


2.
YErTl6: relaxed, GGA-PBE.

Computed properties:
VASP energy   -3.358 eV/atom

a b c (Å): 4.7390 4.7390 9.4789
angles (deg): 90.00 90.00 90.00
Element x y z (fractional)
Er (0.0000, 0.0000, 0.5000)
Tl (0.5000, 0.5000, 0.0000)
Tl (0.5000, 0.0000, 0.2514)
Tl (0.0000, 0.5000, 0.2514)
Tl (0.5000, 0.5000, 0.5000)
Tl (0.5000, 0.0000, 0.7486)
Tl (0.0000, 0.5000, 0.7486)
Y (0.0000, 0.0000, 0.0000)


3.
DyGePt2: relaxed, GGA-PBE.

Computed properties:
VASP energy   -6.245 eV/atom

a b c (Å): 4.1591 6.5060 5.6547
angles (deg): 90.00 90.00 90.00
Element x y z (fractional)
Dy (0.5000, 0.0783, 0.3674)
Dy (0.0000, 0.9217, 0.8674)
Ge (0.5000, 0.6114, 0.1229)
Ge (0.0000, 0.3886, 0.6229)
Pt (0.0000, 0.3352, 0.1610)
Pt (0.0000, 0.7471, 0.3487)
Pt (0.5000, 0.6648, 0.6610)
Pt (0.5000, 0.2529, 0.8487)


4.
CdTeNO: relaxed, GGA-PBE.

Computed properties:
VASP energy   -4.321 eV/atom

a b c (Å): 3.7562 5.6218 6.4874
angles (deg): 90.00 90.00 90.00
Element x y z (fractional)
Cd (0.0000, 0.5281, 0.3757)
Cd (0.0000, 0.0281, 0.6243)
N (0.0000, 0.9087, 0.2829)
N (0.0000, 0.4087, 0.7171)
O (0.5000, 0.3065, 0.3230)
O (0.5000, 0.8065, 0.6770)
Te (0.5000, 0.0107, 0.1555)
Te (0.5000, 0.5107, 0.8445)


5.
HoTmSnN: relaxed, GGA-PBE.

Computed properties:
VASP energy   -6.542 eV/atom

a b c (Å): 3.4904 3.4904 15.1969
angles (deg): 90.00 90.00 120.00
Element x y z (fractional)
Ho (0.0000, 0.0000, 0.3350)
Ho (0.0000, 0.0000, 0.6650)
N (0.6667, 0.3333, 0.2472)
N (0.6667, 0.3333, 0.7528)
Sn (0.0000, 0.0000, 0.0000)
Sn (0.3333, 0.6667, 0.5000)
Tm (0.3333, 0.6667, 0.1645)
Tm (0.3333, 0.6667, 0.8355)


6.
KTmPd: relaxed, GGA-PBE.

Computed properties:
VASP energy   -3.514 eV/atom

a b c (Å): 5.0077 5.0077 5.0077
angles (deg): 60.00 60.00 60.00
Element x y z (fractional)
K (0.5000, 0.5000, 0.5000)
Pd (0.2500, 0.2500, 0.2500)
Tm (0.0000, 0.0000, 0.0000)